(1)
Crystalline H2PdPb at its relaxed geometry. Source: Alexandria, functional PBE.

Unit cell a=3.1644 b=3.1644 c=18.1391 alpha=90.00 beta=90.00 gamma=120.00
Space group R3m (No. 160, hexagonal axes)
Symmetry-distinct sites (fractional):
H 0.0000 0.0000 0.0000 [3 per cell]
H 0.0000 0.0000 0.2647 [3 per cell]
Pd 0.0000 0.0000 0.6304 [3 per cell]
Pb 0.0000 0.0000 0.8034 [3 per cell]

E_tot in eV/atom: -3.78
Magnetic moment in Bohr magnetons per cell: 0.0
Density of states at the Fermi level in states/eV per cell: 3.91


(2)
Crystalline CaTbSm2 at its relaxed geometry. Source: Alexandria, functional PBE.

Unit cell a=3.6412 b=3.6412 c=36.4309 alpha=90.00 beta=90.00 gamma=120.00
Space group R-3m (No. 166, hexagonal axes)
Symmetry-distinct sites (fractional):
Ca 0.0000 0.0000 0.0000 [3 per cell]
Tb 0.0000 0.0000 0.5000 [3 per cell]
Sm 0.0000 0.0000 0.2454 [6 per cell]

Magnetic moment in Bohr magnetons per cell: 0.0
Energy of formation from the pure elements in meV per atom: 45
Density of states at the Fermi level in states/eV per cell: 16.72


(3)
Crystalline LaTbSm3Tm at its relaxed geometry. Source: Alexandria, functional PBE.

Unit cell a=20.451 b=5.766 c=6.878 alpha=90.00 beta=91.07 gamma=90.00
Space group C2/m (No. 12)
Symmetry-distinct sites (fractional):
La 0.145 0.000 0.028 [4 per cell]
Tb 0.144 0.000 0.472 [4 per cell]
Sm 0.020 0.000 0.745 [4 per cell]
Sm 0.159 0.500 0.741 [4 per cell]
Sm 0.220 0.500 0.258 [4 per cell]
Tm 0.057 0.500 0.270 [4 per cell]

Magnetic moment in Bohr magnetons per cell: 0.0
Energy of formation from the pure elements in meV per atom: 205
Density of states at the Fermi level in states/eV per cell: 35.00


(4)
Crystalline AgSb4Ir at its relaxed geometry. Source: Alexandria, functional PBE.

Unit cell a=8.520 b=8.520 c=8.520 alpha=90.00 beta=90.00 gamma=90.00
Space group F-43m (No. 216)
Symmetry-distinct sites (fractional):
Ag 0.000 0.000 0.000 [4 per cell]
Sb 0.125 0.125 0.375 [16 per cell]
Ir 0.250 0.250 0.750 [4 per cell]

Formation energy from raw total energies in meV/atom: 957
Magnetic moment in Bohr magnetons per cell: 0.0
Density of states at the Fermi level in states/eV per cell: 29.06


What is the density of states at the Fermi level in the second record?
16.72 states/eV per cell